--- i ---
6
Lattice="2.604 -7.391 0.000 2.604 7.391 0.000 0.000 0.000 4.664" Properties=species:S:1:pos:R:3 comment="PBE-GGA GaPb5, optimized geometry" sg="Cmmm (65)" pbc="T T T"
Ga 0.000 0.000 0.000
Pb 2.604 5.071 2.332
Pb 2.604 2.458 0.000
Pb 2.604 0.000 2.332
Pb 2.604 -2.458 0.000
Pb 2.604 -5.071 2.332

=====

--- ii ---
6
Lattice="2.928 -5.130 0.000 2.928 5.130 0.000 0.000 0.000 5.999" Properties=species:S:1:pos:R:3 comment="PBE-GGA GaPb5, optimized geometry" sg="Cmmm (65)" pbc="T T T"
Ga 0.000 0.000 0.000
Pb 2.928 3.467 3.000
Pb 2.928 1.730 0.000
Pb 2.928 0.000 3.000
Pb 2.928 -1.730 0.000
Pb 2.928 -3.467 3.000

=====

The most stable arrangement is i, and the next structure is 17 meV per atom less stable.

=====

--- i ---
6
Lattice="0.000 4.129 4.129 4.129 0.000 4.129 4.129 4.129 0.000" Properties=species:S:1:pos:R:3 comment="PBE-GGA Ga2Pb, optimized geometry" sg="Fd-3m (227)" pbc="T T T"
Ga 0.000 0.000 0.000
Ga 2.064 2.064 0.000
Ga 2.064 0.000 2.064
Ga 0.000 2.064 2.064
Pb 3.097 3.097 3.097
Pb 5.161 5.161 5.161

=====

--- ii ---
3
Lattice="-1.799 1.799 5.448 1.799 -1.799 5.448 1.799 1.799 -5.448" Properties=species:S:1:pos:R:3 comment="PBE-GGA Ga2Pb, optimized geometry" sg="I4/mmm (139)" pbc="T T T"
Ga 0.000 0.000 2.080
Ga 0.000 0.000 8.815
Pb 0.000 0.000 5.448

=====

--- iii ---
3
Lattice="4.732 0.000 0.000 -2.366 4.098 0.000 0.000 0.000 3.688" Properties=species:S:1:pos:R:3 comment="PBE-GGA Ga2Pb, optimized geometry" sg="P6/mmm (191)" pbc="T T T"
Ga 0.000 2.732 0.000
Ga 2.366 1.366 0.000
Pb 0.000 0.000 1.844

=====

The most stable arrangement is i, and the next structure is 10 meV per atom less stable.

=====

--- i ---
5
Lattice="5.392 0.000 0.000 0.000 5.392 0.000 0.000 0.000 5.392" Properties=species:S:1:pos:R:3 comment="PBE-GGA GaPdPb3, optimized geometry" sg="Pm-3m (221)" pbc="T T T"
Ga 0.000 0.000 0.000
Pd 2.696 2.696 2.696
Pb 0.000 2.696 2.696
Pb 2.696 0.000 2.696
Pb 2.696 2.696 0.000

=====

--- ii ---
5
Lattice="5.403 0.000 0.000 0.000 5.403 0.000 0.000 0.000 5.403" Properties=species:S:1:pos:R:3 comment="PBE-GGA GaPdPb3, optimized geometry" sg="Pm-3m (221)" pbc="T T T"
Ga 0.000 0.000 0.000
Pd 2.701 2.701 2.701
Pb 0.000 0.000 2.701
Pb 0.000 2.701 0.000
Pb 2.701 0.000 0.000

=====

The most stable arrangement is i, and the next structure is 389 meV per atom less stable.

=====

--- i ---
12
Lattice="5.560 0.000 0.000 0.000 7.729 0.000 -1.873 0.000 4.767" Properties=species:S:1:pos:R:3 comment="PBE-GGA GaPd4Pb, optimized geometry" sg="P2_1/c (14)" pbc="T T T"
Ga 0.000 0.000 0.000
Ga -0.937 3.865 2.384
Pd -0.564 1.303 2.947
Pd 0.373 2.561 0.564
Pd 1.220 5.073 1.993
Pd 0.284 6.521 4.377
Pd 3.403 1.208 0.390
Pd 2.466 2.656 2.774
Pd 3.314 5.168 4.204
Pd 4.250 6.426 1.820
Pb 1.843 0.000 2.384
Pb 2.780 3.865 0.000

=====

--- ii ---
24
Lattice="7.117 0.000 0.000 0.000 3.535 0.000 0.000 0.000 16.378" Properties=species:S:1:pos:R:3 comment="PBE-GGA GaPd4Pb, optimized geometry" sg="Pnma (62)" pbc="T T T"
Ga 1.754 0.884 0.877
Ga 1.805 2.651 9.066
Ga 5.312 0.884 7.311
Ga 5.363 2.651 15.500
Pd 0.029 2.651 7.121
Pd 0.431 2.651 11.494
Pd 0.907 2.651 15.571
Pd 0.919 2.651 2.479
Pd 2.639 0.884 10.668
Pd 2.652 0.884 7.382
Pd 3.128 0.884 3.305
Pd 3.530 0.884 15.310
Pd 3.587 2.651 1.067
Pd 3.989 2.651 13.073
Pd 4.465 2.651 8.996
Pd 4.478 2.651 5.710
Pd 6.197 0.884 13.899
Pd 6.210 0.884 0.807
Pd 6.686 0.884 4.884
Pd 7.088 0.884 9.256
Pb 1.725 0.884 13.304
Pb 1.834 2.651 5.115
Pb 5.283 0.884 11.263
Pb 5.392 2.651 3.074

=====

The most stable arrangement is ii, and the next structure is 83 meV per atom less stable.

=====

--- i ---
3
Lattice="4.539 0.000 0.000 -2.270 3.931 0.000 0.000 0.000 4.531" Properties=species:S:1:pos:R:3 comment="PBE-GGA PmGaPb, optimized geometry" sg="P3m1 (156)" pbc="T T T"
Pm 0.000 0.000 0.000
Ga 2.270 1.310 1.465
Pb 0.000 2.621 2.567

=====

--- ii ---
6
Lattice="2.313 -8.198 0.000 2.313 8.198 0.000 0.000 0.000 4.291" Properties=species:S:1:pos:R:3 comment="PBE-GGA PmGaPb, optimized geometry" sg="Cmcm (63)" pbc="T T T"
Pm 2.313 6.737 3.218
Pm 2.313 -6.737 1.073
Ga 2.313 0.791 3.218
Ga 2.313 -0.791 1.073
Pb 2.313 3.840 1.073
Pb 2.313 -3.840 3.218

=====

--- iii ---
3
Lattice="-2.193 2.193 4.439 2.193 -2.193 4.439 2.193 2.193 -4.439" Properties=species:S:1:pos:R:3 comment="PBE-GGA PmGaPb, optimized geometry" sg="I4mm (107)" pbc="T T T"
Pm 0.000 0.000 0.000
Ga 0.000 0.000 5.907
Pb 0.000 0.000 3.090

=====

The most stable arrangement is i, and the next structure is 63 meV per atom less stable.

=====

--- i ---
4
Lattice="1.786 1.031 11.000 -1.786 1.031 11.000 0.000 -2.063 11.000" Properties=species:S:1:pos:R:3 comment="PBE-GGA PmGaPb2, optimized geometry" sg="R-3m (166)" pbc="T T T"
Pm 0.000 0.000 0.000
Ga 0.000 0.000 16.500
Pb 0.000 0.000 3.210
Pb 0.000 0.000 29.790

=====

--- ii ---
4
Lattice="4.699 0.000 0.000 0.000 4.699 0.000 0.000 0.000 4.870" Properties=species:S:1:pos:R:3 comment="PBE-GGA PmGaPb2, optimized geometry" sg="P4/mmm (123)" pbc="T T T"
Pm 0.000 0.000 0.000
Ga 2.350 2.350 0.000
Pb 0.000 2.350 2.435
Pb 2.350 0.000 2.435

=====

The most stable arrangement is ii, and the next structure is 485 meV per atom less stable.